CrHgSN2 | PBE | relaxed

Computed properties:
- E_tot: -28.17 eV per formula unit
- Total magnetic moment: 0.5 μB/cell
- D(E_F): 2.64 states/eV per cell
- Offset from the most stable computed form: 0 meV per atom
- Uncorrected formation energy: 2.53 eV/f.u.

```
CrHgSN2
1.0
3.707 0.000 0.000
0.000 3.707 0.000
0.000 0.000 5.287
N S Cr Hg
2 1 1 1
direct
0.500 0.000 0.000
0.000 0.500 0.000
0.000 0.000 0.500
0.000 0.000 0.000
0.500 0.500 0.500
```